No. 1
A relaxed Lu4InSnC2 crystal, computed with GGA-PBE.

```
data_Lu4InSnC2
_cell_length_a 3.5227
_cell_length_b 3.5227
_cell_length_c 15.6960
_cell_angle_alpha 90.00
_cell_angle_beta 90.00
_cell_angle_gamma 120.00
_symmetry_space_group_name_H-M 'P -6 m 2'
_symmetry_Int_Tables_number 187
_symmetry_space_group_name_Hall 'P -6 2'
loop_
_atom_site_label
_atom_site_fract_x
_atom_site_fract_y
_atom_site_fract_z
Lu1 0.0000 0.0000 0.1663
Lu2 0.3333 0.6667 0.3317
In1 0.0000 0.0000 0.5000
Sn1 0.3333 0.6667 0.0000
C1 0.6667 0.3333 0.2476
```

---

No. 2
A relaxed Lu2Ta4In3C3 crystal, computed with GGA-PBE.

```
data_Lu2Ta4In3C3
_cell_length_a 9.9421
_cell_length_b 5.7314
_cell_length_c 14.8324
_cell_angle_alpha 90.00
_cell_angle_beta 103.11
_cell_angle_gamma 90.00
_symmetry_space_group_name_H-M 'C 1 2/c 1'
_symmetry_Int_Tables_number 15
_symmetry_space_group_name_Hall '-C 2yc'
loop_
_atom_site_label
_atom_site_fract_x
_atom_site_fract_y
_atom_site_fract_z
Lu1 0.0441 0.0788 0.4001
Ta1 0.1089 0.4047 0.5746
Ta2 0.2305 0.4230 0.9253
In1 0.0000 0.4868 0.2500
In2 0.2032 0.1190 0.7528
C1 0.0862 0.2584 0.0000
C2 0.2500 0.2500 0.5000
```

---

No. 3
A relaxed Lu4Ta2In3C3 crystal, computed with GGA-PBE.

```
data_Lu4Ta2In3C3
_cell_length_a 10.1856
_cell_length_b 5.9089
_cell_length_c 15.4198
_cell_angle_alpha 90.00
_cell_angle_beta 103.35
_cell_angle_gamma 90.00
_symmetry_space_group_name_H-M 'C 1 2/c 1'
_symmetry_Int_Tables_number 15
_symmetry_space_group_name_Hall '-C 2yc'
loop_
_atom_site_label
_atom_site_fract_x
_atom_site_fract_y
_atom_site_fract_z
Lu1 0.1146 0.0717 0.0896
Lu2 0.2132 0.0894 0.4104
Ta1 0.0639 0.4119 0.9286
In1 0.0000 0.1264 0.7500
In2 0.1469 0.4328 0.2469
C1 0.0759 0.2722 0.5000
C2 0.2500 0.2500 0.0000
```

---

No. 4
A relaxed Lu4TlInC2 crystal, computed with GGA-PBE.

```
data_Lu4TlInC2
_cell_length_a 3.5203
_cell_length_b 3.5203
_cell_length_c 15.9432
_cell_angle_alpha 90.00
_cell_angle_beta 90.00
_cell_angle_gamma 120.00
_symmetry_space_group_name_H-M 'P -6 m 2'
_symmetry_Int_Tables_number 187
_symmetry_space_group_name_Hall 'P -6 2'
loop_
_atom_site_label
_atom_site_fract_x
_atom_site_fract_y
_atom_site_fract_z
Lu1 0.0000 0.0000 0.1684
Lu2 0.3333 0.6667 0.3319
Tl1 0.3333 0.6667 0.0000
In1 0.0000 0.0000 0.5000
C1 0.6667 0.3333 0.2500
```

---

No. 5
A relaxed Lu2In3W4C3 crystal, computed with GGA-PBE.

```
data_Lu2In3W4C3
_cell_length_a 9.8089
_cell_length_b 5.7073
_cell_length_c 14.3601
_cell_angle_alpha 90.00
_cell_angle_beta 103.53
_cell_angle_gamma 90.00
_symmetry_space_group_name_H-M 'C 1 2/c 1'
_symmetry_Int_Tables_number 15
_symmetry_space_group_name_Hall '-C 2yc'
loop_
_atom_site_label
_atom_site_fract_x
_atom_site_fract_y
_atom_site_fract_z
Lu1 0.0413 0.0788 0.3933
In1 0.0000 0.4869 0.7500
In2 0.2166 0.1320 0.7526
W1 0.1082 0.4072 0.5703
W2 0.2303 0.4234 0.9299
C1 0.0841 0.2522 0.9997
C2 0.2500 0.2500 0.5000
```

---

No. 6
A relaxed Y4Lu2In3C3 crystal, computed with GGA-PBE.

```
data_Y4Lu2In3C3
_cell_length_a 10.7390
_cell_length_b 6.2083
_cell_length_c 16.6047
_cell_angle_alpha 90.00
_cell_angle_beta 102.43
_cell_angle_gamma 90.00
_symmetry_space_group_name_H-M 'C 1 2/c 1'
_symmetry_Int_Tables_number 15
_symmetry_space_group_name_Hall '-C 2yc'
loop_
_atom_site_label
_atom_site_fract_x
_atom_site_fract_y
_atom_site_fract_z
Y1 0.1116 0.0818 0.0848
Y2 0.2211 0.0839 0.4152
Lu1 0.0580 0.4162 0.9218
In1 0.0000 0.1067 0.7500
In2 0.1562 0.4248 0.2498
C1 0.0822 0.2534 0.5000
C2 0.2500 0.2500 0.0000
```

---

No. 7
A relaxed Lu4ZnInC2 crystal, computed with GGA-PBE.

```
data_Lu4ZnInC2
_cell_length_a 3.5098
_cell_length_b 3.5098
_cell_length_c 15.3784
_cell_angle_alpha 90.00
_cell_angle_beta 90.00
_cell_angle_gamma 120.00
_symmetry_space_group_name_H-M 'P -6 m 2'
_symmetry_Int_Tables_number 187
_symmetry_space_group_name_Hall 'P -6 2'
loop_
_atom_site_label
_atom_site_fract_x
_atom_site_fract_y
_atom_site_fract_z
Lu1 0.0000 0.0000 0.1586
Lu2 0.6667 0.3333 0.3284
Zn1 0.6667 0.3333 0.0000
In1 0.0000 0.0000 0.5000
C1 0.3333 0.6667 0.2429
```

---

No. 8
A relaxed Lu2Zr4In3C3 crystal, computed with GGA-PBE.

```
data_Lu2Zr4In3C3
_cell_length_a 10.2577
_cell_length_b 5.9255
_cell_length_c 15.6264
_cell_angle_alpha 90.00
_cell_angle_beta 102.81
_cell_angle_gamma 90.00
_symmetry_space_group_name_H-M 'C 1 2/c 1'
_symmetry_Int_Tables_number 15
_symmetry_space_group_name_Hall '-C 2yc'
loop_
_atom_site_label
_atom_site_fract_x
_atom_site_fract_y
_atom_site_fract_z
Lu1 0.0500 0.0814 0.4075
Zr1 0.1099 0.4117 0.5792
Zr2 0.2257 0.4190 0.9208
In1 0.0000 0.4839 0.2500
In2 0.2000 0.1161 0.7509
C1 0.0852 0.2556 0.0000
C2 0.2500 0.2500 0.5000
```

---

No. 9
A relaxed InMo2C crystal, computed with GGA-PBE.

```
data_InMo2C
_cell_length_a 3.1324
_cell_length_b 5.4242
_cell_length_c 13.9937
_cell_angle_alpha 90.00
_cell_angle_beta 90.00
_cell_angle_gamma 90.00
_symmetry_space_group_name_H-M 'C m c m'
_symmetry_Int_Tables_number 63
_symmetry_space_group_name_Hall '-C 2c 2'
loop_
_atom_site_label
_atom_site_fract_x
_atom_site_fract_y
_atom_site_fract_z
In1 0.0000 0.1680 0.2500
Mo1 0.0000 0.1666 0.5804
C1 0.0000 0.5000 0.0000
```

---

No. 10
A relaxed InMo2C crystal, computed with GGA-PBE.

```
data_InMo2C
_cell_length_a 3.1276
_cell_length_b 3.1276
_cell_length_c 14.0188
_cell_angle_alpha 90.00
_cell_angle_beta 90.00
_cell_angle_gamma 120.00
_symmetry_space_group_name_H-M 'P 63/m m c'
_symmetry_Int_Tables_number 194
_symmetry_space_group_name_Hall '-P 6c 2c'
loop_
_atom_site_label
_atom_site_fract_x
_atom_site_fract_y
_atom_site_fract_z
In1 0.3333 0.6667 0.2500
Mo1 0.3333 0.6667 0.5808
C1 0.0000 0.0000 0.0000
```

---

No. 11
A relaxed In2Mo4CN crystal, computed with GGA-PBE.

```
data_In2Mo4CN
_cell_length_a 3.1673
_cell_length_b 3.1673
_cell_length_c 13.7427
_cell_angle_alpha 90.00
_cell_angle_beta 90.00
_cell_angle_gamma 120.00
_symmetry_space_group_name_H-M 'P -3 m 1'
_symmetry_Int_Tables_number 164
_symmetry_space_group_name_Hall '-P 3 2"'
loop_
_atom_site_label
_atom_site_fract_x
_atom_site_fract_y
_atom_site_fract_z
In1 0.3333 0.6667 0.2480
Mo1 0.3333 0.6667 0.5805
Mo2 0.3333 0.6667 0.9241
C1 0.0000 0.0000 0.5000
N1 0.0000 0.0000 0.0000
```

---

No. 12
A relaxed In2Mo8C3N3 crystal, computed with GGA-PBE.

```
data_In2Mo8C3N3
_cell_length_a 3.2086
_cell_length_b 3.2086
_cell_length_c 23.1206
_cell_angle_alpha 90.00
_cell_angle_beta 90.00
_cell_angle_gamma 120.00
_symmetry_space_group_name_H-M 'P -3 m 1'
_symmetry_Int_Tables_number 164
_symmetry_space_group_name_Hall '-P 3 2"'
loop_
_atom_site_label
_atom_site_fract_x
_atom_site_fract_y
_atom_site_fract_z
In1 0.3333 0.6667 0.2526
Mo1 0.0000 0.0000 0.1499
Mo2 0.0000 0.0000 0.3584
Mo3 0.3333 0.6667 0.0557
Mo4 0.3333 0.6667 0.4449
C1 0.0000 0.0000 0.0000
C2 0.3333 0.6667 0.8910
N1 0.0000 0.0000 0.5000
N2 0.3333 0.6667 0.6091
```

---

No. 13
A relaxed Nb2In3Mo4C3 crystal, computed with GGA-PBE.

```
data_Nb2In3Mo4C3
_cell_length_a 9.4895
_cell_length_b 5.4791
_cell_length_c 14.4525
_cell_angle_alpha 90.00
_cell_angle_beta 102.57
_cell_angle_gamma 90.00
_symmetry_space_group_name_H-M 'C 1 2/c 1'
_symmetry_Int_Tables_number 15
_symmetry_space_group_name_Hall '-C 2yc'
loop_
_atom_site_label
_atom_site_fract_x
_atom_site_fract_y
_atom_site_fract_z
Nb1 0.0560 0.0840 0.4148
In1 0.0000 0.4317 0.2500
In2 0.1738 0.0898 0.7495
Mo1 0.1095 0.4182 0.5786
Mo2 0.2232 0.4156 0.9213
C1 0.0836 0.2513 0.0000
C2 0.2500 0.2500 0.5000
```

---

No. 14
A relaxed Nb4In3Mo2C3 crystal, computed with GGA-PBE.

```
data_Nb4In3Mo2C3
_cell_length_a 9.5562
_cell_length_b 5.5155
_cell_length_c 14.6178
_cell_angle_alpha 90.00
_cell_angle_beta 102.59
_cell_angle_gamma 90.00
_symmetry_space_group_name_H-M 'C 1 2/c 1'
_symmetry_Int_Tables_number 15
_symmetry_space_group_name_Hall '-C 2yc'
loop_
_atom_site_label
_atom_site_fract_x
_atom_site_fract_y
_atom_site_fract_z
Nb1 0.1114 0.0847 0.0832
Nb2 0.2230 0.0825 0.4168
In1 0.0000 0.0950 0.7500
In2 0.1608 0.4227 0.2502
Mo1 0.0562 0.4180 0.9216
C1 0.0827 0.2508 0.5000
C2 0.2500 0.2500 0.0000
```

---

No. 15
A relaxed InMo4PbC2 crystal, computed with GGA-PBE.

```
data_InMo4PbC2
_cell_length_a 3.1848
_cell_length_b 3.1848
_cell_length_c 13.9365
_cell_angle_alpha 90.00
_cell_angle_beta 90.00
_cell_angle_gamma 120.00
_symmetry_space_group_name_H-M 'P -6 m 2'
_symmetry_Int_Tables_number 187
_symmetry_space_group_name_Hall 'P -6 2'
loop_
_atom_site_label
_atom_site_fract_x
_atom_site_fract_y
_atom_site_fract_z
In1 0.0000 0.0000 0.0000
Mo1 0.0000 0.0000 0.3260
Mo2 0.3333 0.6667 0.1691
Pb1 0.3333 0.6667 0.5000
C1 0.6667 0.3333 0.2486
```

---

No. 16
A relaxed InMo4C2S crystal, computed with GGA-PBE.

```
data_InMo4C2S
_cell_length_a 3.1764
_cell_length_b 3.1764
_cell_length_c 12.8280
_cell_angle_alpha 90.00
_cell_angle_beta 90.00
_cell_angle_gamma 120.00
_symmetry_space_group_name_H-M 'P -6 m 2'
_symmetry_Int_Tables_number 187
_symmetry_space_group_name_Hall 'P -6 2'
loop_
_atom_site_label
_atom_site_fract_x
_atom_site_fract_y
_atom_site_fract_z
In1 0.0000 0.0000 0.0000
Mo1 0.0000 0.0000 0.3568
Mo2 0.6667 0.3333 0.1864
C1 0.3333 0.6667 0.2674
S1 0.6667 0.3333 0.5000
```

---

No. 17
A relaxed InSiMo4C2 crystal, computed with GGA-PBE.

```
data_InSiMo4C2
_cell_length_a 3.1329
_cell_length_b 3.1329
_cell_length_c 13.0993
_cell_angle_alpha 90.00
_cell_angle_beta 90.00
_cell_angle_gamma 120.00
_symmetry_space_group_name_H-M 'P -6 m 2'
_symmetry_Int_Tables_number 187
_symmetry_space_group_name_Hall 'P -6 2'
loop_
_atom_site_label
_atom_site_fract_x
_atom_site_fract_y
_atom_site_fract_z
In1 0.0000 0.0000 0.0000
Si1 0.6667 0.3333 0.5000
Mo1 0.0000 0.0000 0.3573
Mo2 0.6667 0.3333 0.1830
C1 0.3333 0.6667 0.2652
```

---

No. 18
A relaxed InSnMo4C2 crystal, computed with GGA-PBE.

```
data_InSnMo4C2
_cell_length_a 3.1634
_cell_length_b 3.1634
_cell_length_c 13.7648
_cell_angle_alpha 90.00
_cell_angle_beta 90.00
_cell_angle_gamma 120.00
_symmetry_space_group_name_H-M 'P -6 m 2'
_symmetry_Int_Tables_number 187
_symmetry_space_group_name_Hall 'P -6 2'
loop_
_atom_site_label
_atom_site_fract_x
_atom_site_fract_y
_atom_site_fract_z
In1 0.0000 0.0000 0.0000
Sn1 0.3333 0.6667 0.5000
Mo1 0.0000 0.0000 0.3321
Mo2 0.3333 0.6667 0.1706
C1 0.6667 0.3333 0.2509
```

---

Which E_tot belongs to each record? In order, -5.96 -8.18 -6.98 -5.66 -8.22 -6.32 -5.45 -7.22 -8.40 -8.40 -8.29 -9.02 -8.42 -8.43 -8.41 -8.64 -8.82 -8.55 eV/atom.
Which total moment belongs to each record? In order, 0.00 0.00 0.00 0.04 0.00 0.39 1.03 0.02 0.00 0.00 0.02 0.01 0.00 0.00 0.01 0.01 0.01 0.01 μB per formula unit.